VASP calculation (GGA+U) on an optimized crystal structure of MnHg3F8.

The electronic total energy comes out at -3.64 eV/atom. Its crystal system is monoclinic. The calculation puts the density of states at the Fermi level at 0.1113 states/eV/atom.

It has space group Cm (No. 8), with a = 13.995 Å, b = 4.329 Å, c = 7.373 Å, α = 90.00°, β = 98.99° and γ = 90.00°. The distinct sites, in fractional coordinates, are Mn at (0.000, 0.000, 0.000), Hg at (0.066, 0.500, 0.420), Hg at (0.200, 0.500, 0.965), Hg at (0.344, 0.500, 0.494), F at (0.030, 0.500, 0.026), F at (0.041, 0.000, 0.300), F at (0.146, 0.000, 0.951), F at (0.195, 0.500, 0.647), F at (0.215, 0.500, 0.293), F at (0.359, 0.500, 0.032), F at (0.407, 0.000, 0.423) and F at (0.466, 0.500, 0.706).